Material: Sc2Co3B5
Method: DFT, GGA-PBE
State: relaxed

Cell lengths 8.1406, 10.2300, 4.6726 Å; angles 90.00, 90.00, 90.00 degrees
Closest atoms and distances in Å follow each position.
Space group Ibam (No. 72)
Unique sites:
1 Sc 0.2360 0.1244 0.0000  8 B 2.52-2.72, 6 Co 2.62-2.76
2 Co 0.0000 0.5000 0.2500  6 B 2.07-2.10
3 Co 0.0932 0.1435 0.5000  5 B 2.02-2.13
4 B 0.0000 0.0000 0.2500  4 Co 2.02
5 B 0.0000 0.2952 0.2500  2 B 1.88, 3 Co 2.09-2.10
6 B 0.1467 0.3802 0.0000  2 B 1.88, 2 Co 2.07

Calculated values
The total moment is 0.00 μB/cell. The calculated total energy is -288.604 eV for the cell shown.



Material: Sc2CoB6
Method: DFT, GGA-PBE
State: relaxed

Cell lengths 8.8164, 11.0937, 3.3260 Å; angles 90.00, 90.00, 90.00 degrees
Closest atoms and distances in Å follow each position.
Space group Pbam (No. 55)
Unique sites:
1 Sc 0.0565 0.1286 0.0000  12 B 2.43-2.45
2 Sc 0.1791 0.4146 0.0000  14 B 2.56-2.65
3 Co 0.1410 0.6808 0.0000  10 B 2.20-2.25
4 B 0.0178 0.2883 0.5000  3 B 1.74-1.76
5 B 0.0537 0.5653 0.5000  3 B 1.73-1.74
6 B 0.1034 0.9722 0.5000  3 B 1.74-1.92
7 B 0.1319 0.8171 0.5000  3 B 1.69-1.76
8 B 0.2055 0.2371 0.5000  3 B 1.69-1.78
9 B 0.2500 0.0803 0.5000  3 B 1.74-1.78

Calculated values
The total moment is 0.22 μB/cell. The calculated total energy is -265.293 eV for the cell shown.



Material: Sc3CoB7
Method: DFT, GGA-PBE
State: relaxed

Cell lengths 3.2218, 14.8207, 8.9446 Å; angles 90.00, 90.00, 90.00 degrees
Closest atoms and distances in Å follow each position.
Space group Cmcm (No. 63)
Unique sites:
1 Sc 0.0000 0.1065 0.0570  11 B 2.46-2.55
2 Sc 0.0000 0.2469 0.7500  10 B 2.51-2.55
3 Co 0.0000 0.0509 0.7500  10 B 2.18-2.22
4 B 0.0000 0.2720 0.0325  3 B 1.78-1.83
5 B 0.0000 0.3682 0.1518  3 B 1.76-1.78
6 B 0.0000 0.4482 0.7500  2 B 1.72
7 B 0.0000 0.4821 0.0956  3 B 1.72-1.79

Calculated values
The total moment is 0.00 μB/cell. The calculated total energy is -324.082 eV for the cell shown.



Material: Sc4CoB3
Method: DFT, GGA-PBE
State: relaxed

Cell lengths 3.2231, 3.2231, 26.9255 Å; angles 90.00, 90.00, 120.00 degrees
Closest atoms and distances in Å follow each position.
Space group P6_3/mmc (No. 194)
Unique sites:
1 Sc 0.0000 0.0000 0.1794  3 B 2.42, 3 Co 2.66
2 Sc 0.3333 0.6667 0.0602  6 B 2.47-2.49
3 Co 0.3333 0.6667 0.2500  6 Sc 2.66
4 B 0.0000 0.0000 0.0000  6 Sc 2.47
5 B 0.3333 0.6667 0.6219  6 Sc 2.42-2.49

Calculated values
The total moment is 0.69 μB/cell. The calculated total energy is -102.923 eV for the cell shown.



Material: ScCoB
Method: DFT, GGA-PBE
State: relaxed

Cell lengths 5.6344, 5.6344, 5.6344 Å; angles 90.00, 90.00, 90.00 degrees
Closest atoms and distances in Å follow each position.
Space group F-43m (No. 216)
Unique sites:
1 Sc 0.0000 0.0000 0.0000  4 Co 2.44, 4 B 2.44
2 Co 0.2500 0.2500 0.2500  4 Sc 2.44
3 B 0.2500 0.2500 0.7500  4 Sc 2.44

Calculated values
The total moment is 1.30 μB/cell. The calculated total energy is -69.700 eV for the cell shown. The energy above the most stable polymorph in this dataset is 1413.8 meV/atom.



Material: Sc2CoB
Method: DFT, GGA-PBE
State: relaxed

Cell lengths 3.2049, 3.2049, 13.9359 Å; angles 90.00, 90.00, 120.00 degrees
Closest atoms and distances in Å follow each position.
Space group P6_3/mmc (No. 194)
Unique sites:
1 Sc 0.3333 0.6667 0.1138  3 B 2.44, 3 Co 2.65
2 Co 0.3333 0.6667 0.7500  6 Sc 2.65
3 B 0.0000 0.0000 0.0000  6 Sc 2.44

Calculated values
The total moment is 0.54 μB/cell. The calculated total energy is -52.134 eV for the cell shown.



Material: Sc2CoB2
Method: DFT, GGA-PBE
State: relaxed

Cell lengths 3.1265, 11.4580, 3.4130 Å; angles 90.00, 90.00, 90.00 degrees
Closest atoms and distances in Å follow each position.
Space group Cmmm (No. 65)
Unique sites:
1 Sc 0.0000 0.1291 0.0000  6 B 2.49-2.50, 4 Co 2.75
2 Co 0.0000 0.5000 0.5000  2 B 2.44
3 B 0.0000 0.2874 0.5000  2 B 1.78

Calculated values
The total moment is 0.15 μB/cell. The calculated total energy is -71.671 eV for the cell shown.



Material: ScCo2SiB
Method: DFT, GGA-PBE
State: relaxed

Cell lengths 3.6357, 3.6357, 8.9248 Å; angles 90.00, 90.00, 90.00 degrees
Closest atoms and distances in Å follow each position.
Space group I4mm (No. 107)
Unique sites:
1 Sc 0.0000 0.0000 0.0000  8 Co 2.75-3.01, 4 B 2.79, 4 Si 2.79
2 Co 0.0000 0.5000 0.2309  2 B 2.07, 2 Si 2.24
3 Si 0.0000 0.0000 0.3779  1 B 2.17, 4 Co 2.24
4 B 0.0000 0.0000 0.6206  4 Co 2.07, 1 Si 2.17

Calculated values
The total moment is 0.00 μB/cell. The calculated total energy is -72.122 eV for the cell shown.



Material: ScCoBW
Method: DFT, GGA-PBE
State: relaxed

Cell lengths 5.8771, 5.8771, 5.8771 Å; angles 90.00, 90.00, 90.00 degrees
Closest atoms and distances in Å follow each position.
Space group F-43m (No. 216)
Unique sites:
1 Sc 0.0000 0.0000 0.0000  4 W 2.54, 4 Co 2.54
2 Co 0.2500 0.2500 0.7500  4 Sc 2.54, 4 B 2.54
3 B 0.0000 0.0000 0.5000  4 W 2.54, 4 Co 2.54
4 W 0.2500 0.2500 0.2500  4 Sc 2.54, 4 B 2.54

Calculated values
The total moment is 1.84 μB/cell. The calculated total energy is -120.961 eV for the cell shown. The energy above the most stable polymorph in this dataset is 0.0 meV/atom.



Material: CoSiB4
Method: DFT, GGA-PBE
State: relaxed

Cell lengths 2.9657, 5.1964, 6.2679 Å; angles 90.00, 90.00, 90.00 degrees
Closest atoms and distances in Å follow each position.
Space group Immm (No. 71)
Unique sites:
1 Co 0.0000 0.0000 0.0000  12 B 2.32-2.34
2 Si 0.0000 0.0000 0.5000  12 B 2.32-2.34
3 B 0.0000 0.3338 0.2502  3 B 1.72-1.73

Calculated values
The total moment is 2.06 μB/cell. The calculated total energy is -75.308 eV for the cell shown. The energy above the most stable polymorph in this dataset is 23.1 meV/atom.



Material: CoSiB2
Method: DFT, GGA-PBE
State: relaxed

Cell lengths 5.2279, 5.2279, 5.2279 Å; angles 90.00, 90.00, 90.00 degrees
Closest atoms and distances in Å follow each position.
Space group F-43m (No. 216)
Unique sites:
1 Co 0.0000 0.0000 0.0000  4 B 2.26, 4 Si 2.26
2 Si 0.2500 0.2500 0.7500  4 Co 2.26, 4 B 2.26
3 B 0.0000 0.0000 0.5000  4 Si 2.26, 4 B 2.26
4 B 0.2500 0.2500 0.2500  4 B 2.26, 4 Co 2.26

Calculated values
The total moment is 0.01 μB/cell. The calculated total energy is -88.788 eV for the cell shown.



Material: CoSiB4
Method: DFT, GGA-PBE
State: relaxed

Cell lengths 2.9844, 2.9844, 6.2608 Å; angles 90.00, 90.00, 120.00 degrees
Closest atoms and distances in Å follow each position.
Space group P6/mmm (No. 191)
Unique sites:
1 Co 0.0000 0.0000 0.0000  12 B 2.27
2 Si 0.0000 0.0000 0.5000  12 B 2.39
3 B 0.3333 0.6667 0.2353  3 B 1.72

Calculated values
The total moment is 0.02 μB/cell. The calculated total energy is -37.793 eV for the cell shown. The energy above the most stable polymorph in this dataset is 0.0 meV/atom.